{"formula": "KCaTa", "functional": "PBE", "state": "relaxed", "total_energy_ev_per_atom": -4.003, "rho_g_cm3": 4.840, "e_form_ev_per_atom": 0.98, "space_group": "P3m1, No. 156", "total_magnetization_mub_per_cell": 0.29, "lattice_angstrom": [[-2.924, -1.124, -0.910], [2.613, -0.543, -1.877], [1.696, -8.264, 4.750]], "species": ["Ca", "K", "Ta"], "frac_coords": [[0.000, 0.000, 0.955], [0.667, 0.333, 0.358], [0.333, 0.667, 0.687]]}